The following is a GGA-PBE calculation of a relaxed structure of K2Tb2SbO6, from the Alexandria database.

Calculated values
- DOS at the Fermi energy (states/eV/atom) = 0.48
- magnetization (μB per cell) = 0.408
- raw total energy (eV per atom) = -6.451
- SG = C2/m, No. 12
- formation energy from raw total energies (eV/atom) = -2.330

Cell: 5.9511 5.9511 6.6639 Å, 98.02 98.02 119.80°
Last column: nearest neighbours and their distance in Å.
Atoms (fractional coordinates):
K  0.8368  0.1632  0.0000  6 O 2.80-2.97
K  0.1632  0.8368  0.0000  6 O 2.80-2.97
Tb  0.3347  0.6653  0.5000  6 O 2.30-2.33
Tb  0.6653  0.3347  0.5000  6 O 2.30-2.33
Sb  0.0000  0.0000  0.5000  6 O 2.16-2.22
O  0.7445  0.7445  0.6752  1 Sb 2.16, 2 Tb 2.33
O  0.0486  0.3732  0.6743  1 Sb 2.22, 2 Tb 2.30-2.33
O  0.2555  0.2555  0.3248  1 Sb 2.16, 2 Tb 2.33
O  0.3732  0.0486  0.6743  1 Sb 2.22, 2 Tb 2.30-2.33
O  0.9514  0.6268  0.3257  1 Sb 2.22, 2 Tb 2.30-2.33
O  0.6268  0.9514  0.3257  1 Sb 2.22, 2 Tb 2.30-2.33